(1)
DFT (PBE) results for a relaxed Pm3Nd8Tm crystal.

Summary:
As for the calculated total energy: -4.185 eV/atom.

abc: 8.5450 8.5450 8.5449
angles: 94.16 117.63 117.63
Sites, in units of the cell vectors:
Nd  0.5058  0.7460  0.7460
Nd  0.7513  0.1237  0.1237
Nd  0.0000  0.8763  0.6276
Nd  0.0000  0.2540  0.7598
Nd  0.2487  0.3724  0.3724
Pm  0.0000  0.5000  0.5000
Nd  0.4943  0.2402  0.2402
Nd  0.0000  0.7598  0.2540
Pm  0.5000  0.7500  0.2500
Tm  0.0000  0.0000  0.0000
Nd  0.0000  0.6276  0.8763
Pm  0.5000  0.2500  0.7500

=====

(2)
DFT (PBE) results for a relaxed Pm2ErRu crystal.

Summary:
As for the calculated total energy: -5.885 eV/atom.

abc: 3.4939 3.4939 9.0988
angles: 90.00 90.00 90.00
Sites, in units of the cell vectors:
Pm  0.0000  0.0000  0.8119
Er  0.5000  0.5000  0.5000
Pm  0.0000  0.0000  0.1881
Ru  0.5000  0.5000  0.0000

=====

(3)
DFT (PBE) results for a relaxed HoHfMn4 crystal.

Summary:
As for the calculated total energy: -8.574 eV/atom.

abc: 5.0068 5.0068 5.0068
angles: 60.00 60.00 60.00
Each line ends with the local moment (μB).
Sites, in units of the cell vectors:
Mn  0.6255  0.1235  0.6255  0.68
Hf  0.0000  0.0000  0.0000  -0.20
Ho  0.2500  0.2500  0.2500  -0.18
Mn  0.6255  0.6255  0.1235  0.68
Mn  0.6255  0.6255  0.6255  0.68
Mn  0.1235  0.6255  0.6255  0.68

=====

(4)
DFT (PBE) results for a relaxed Ga2AgS crystal.

Summary:
Its uncorrected formation energy is -0.05 eV/atom.

abc: 6.2367 6.2367 6.6696
angles: 62.12 62.12 90.00
Sites, in units of the cell vectors:
Ag  0.7500  0.2500  0.5000
Ga  0.1370  0.6250  0.2500
Ga  0.6130  0.1250  0.2500
Ga  0.3750  0.3870  0.7500
S  0.2500  0.7500  0.5000
Ga  0.8750  0.8630  0.7500
Ag  0.0000  0.0000  0.0000
S  0.5000  0.5000  0.0000